Material: InIr2Se
Method: DFT, PBE
State: relaxed

Summary:
The calculation puts the distance to the lowest polymorph of the same formula at 0.1723 eV/atom. Its uncorrected formation energy is 0.340 eV/atom. The total energy is -5.647 eV/atom.

Cell lengths 4.3193, 4.3193, 3.6188 Å; angles 90.00, 90.00, 90.00 degrees
With the nearest neighbours (Å) after each atom.
Space group P4/mmm (No. 123)
Asymmetric unit:
In  0.0000  0.0000  0.0000 (multiplicity 1)  8 Ir 2.82, 4 Se 3.05
Ir  0.0000  0.5000  0.5000 (multiplicity 2)  4 In 2.82, 4 Se 2.82, 4 Ir 3.05
Se  0.5000  0.5000  0.0000 (multiplicity 1)  8 Ir 2.82, 4 In 3.05